w.
Entry from the Alexandria database: a PBEsol-optimized structure of Y4Zn (meta-GGA SCAN).

Cell and atoms, written as POSCAR:
```
Y4Zn
1.0
-3.360 3.360 3.360
3.360 -3.360 3.360
3.360 3.360 -3.360
Y Zn
4 1
direct
0.000 0.000 0.500
0.000 0.500 0.000
0.500 0.000 0.000
0.500 0.500 0.500
0.000 0.000 0.000
```

***

x.
Entry from the Alexandria database: a PBEsol-optimized structure of Y4Zn (meta-GGA SCAN).

Cell and atoms, written as POSCAR:
```
Y4Zn
1.0
6.139 -1.795 0.000
6.139 1.795 0.000
-0.524 0.000 12.399
Y Zn
8 2
direct
0.078 0.078 0.341
0.148 0.148 0.074
0.348 0.348 0.425
0.418 0.418 0.161
0.582 0.582 0.839
0.652 0.652 0.575
0.852 0.852 0.926
0.922 0.922 0.659
0.253 0.253 0.750
0.747 0.747 0.250
```

***

Ordering by calculated energy gives the sequence x, w, with the first entry being the most stable.

***

w.
Entry from the Alexandria database: a PBEsol-optimized structure of Y5Zr (meta-GGA SCAN).

Cell and atoms, written as POSCAR:
```
Y5Zr
1.0
6.302 -1.745 0.000
6.302 1.745 0.000
-1.849 0.000 7.959
Y Zr
5 1
direct
0.000 0.000 0.000
0.054 0.054 0.590
0.337 0.337 0.648
0.677 0.677 0.320
0.732 0.732 0.942
0.393 0.393 0.268
```

***

x.
Entry from the Alexandria database: a PBEsol-optimized structure of Y5Zr (meta-GGA SCAN).

Cell and atoms, written as POSCAR:
```
Y5Zr
1.0
5.488 0.000 0.000
0.000 1.742 9.145
0.000 -1.742 9.145
Y Zr
5 1
direct
0.000 0.000 0.000
0.000 0.319 0.319
0.500 0.212 0.212
0.500 0.553 0.553
0.500 0.884 0.884
0.000 0.660 0.660
```

***

Ordering by calculated energy gives the sequence w, x, with the first entry being the most stable.

***

w.
Entry from the Alexandria database: a PBEsol-optimized structure of YZr (meta-GGA SCAN).

Cell and atoms, written as POSCAR:
```
YZr
1.0
5.832 0.000 0.000
0.000 5.293 0.000
0.000 0.000 6.716
Y Zr
4 4
direct
0.091 0.250 0.126
0.409 0.750 0.626
0.591 0.250 0.374
0.909 0.750 0.874
0.070 0.250 0.622
0.430 0.750 0.122
0.570 0.250 0.878
0.930 0.750 0.378
```

***

x.
Entry from the Alexandria database: a PBEsol-optimized structure of YZr (meta-GGA SCAN).

Cell and atoms, written as POSCAR:
```
YZr
1.0
3.298 0.000 0.000
0.000 3.298 0.000
0.000 0.000 9.494
Y Zr
2 2
direct
0.250 0.250 0.144
0.750 0.750 0.856
0.250 0.250 0.610
0.750 0.750 0.390
```

***

Ordering by calculated energy gives the sequence w, x, with the first entry being the most stable.

***

w.
Entry from the Alexandria database: a PBEsol-optimized structure of YZr (meta-GGA SCAN).

Cell and atoms, written as POSCAR:
```
YZr
1.0
6.158 -1.668 0.000
6.158 1.668 0.000
-1.816 0.000 7.579
Y Zr
3 3
direct
0.000 0.000 0.000
0.054 0.054 0.617
0.675 0.675 0.335
0.330 0.330 0.667
0.386 0.386 0.280
0.737 0.737 0.950
```

***

x.
Entry from the Alexandria database: a PBEsol-optimized structure of YZr (meta-GGA SCAN).

Cell and atoms, written as POSCAR:
```
YZr
1.0
3.346 0.000 0.000
-1.673 2.898 0.000
0.000 0.000 10.730
Y Zr
2 2
direct
0.333 0.667 0.360
0.667 0.333 0.640
0.333 0.667 0.886
0.667 0.333 0.114
```

***

Ordering by calculated energy gives the sequence x, w, with the first entry being the most stable.